Entry 1:
Entry from Alexandria via LeMat-Bulk: Tb4PrSm2Er2 after structural relaxation (PBE-GGA).

Output
Total magnetic moment, μB per cell: 0.0
Crystal system: monoclinic

a b c (Å): 9.5351 9.5351 9.5997
angles (deg): 115.11 115.11 21.86
Element x y z (fractional)
Tb 0.0191 0.0191 0.3340
Tb 0.3146 0.3146 0.6661
Tb 0.6854 0.6854 0.3339
Tb 0.9809 0.9809 0.6660
Pr 0.5000 0.5000 0.0000
Sm 0.3519 0.3519 0.3324
Sm 0.6481 0.6481 0.6676
Er 0.1683 0.1683 0.0022
Er 0.8317 0.8317 0.9978

***

Entry 2:
Entry from Alexandria via LeMat-Bulk: Tb2PrSmEr4 after structural relaxation (PBE-GGA).

Output
Total magnetic moment, μB per cell: 5.9
Crystal system: monoclinic

a b c (Å): 9.4926 9.4926 6.7991
angles (deg): 110.98 110.98 88.50
Element x y z (fractional)
Tb 0.0000 0.0000 0.0000
Tb 0.0000 0.0000 0.5000
Tb 0.0000 0.5000 0.0000
Tb 0.5000 0.0000 0.5000
Pr 0.5000 0.5000 0.0000
Pr 0.5000 0.5000 0.5000
Sm 0.0000 0.5000 0.5000
Sm 0.5000 0.0000 0.0000
Er 0.2459 0.2476 0.9956
Er 0.2473 0.7527 0.0006
Er 0.2473 0.7527 0.4994
Er 0.2476 0.2459 0.4956
Er 0.7524 0.7541 0.5044
Er 0.7527 0.2473 0.5006
Er 0.7527 0.2473 0.9994
Er 0.7541 0.7524 0.0044

***

Entry 3:
Entry from Alexandria via LeMat-Bulk: TbPr3SmEr after structural relaxation (PBE-GGA).

Output
Total magnetic moment, μB per cell: 0.0
Crystal system: orthorhombic

a b c (Å): 8.1536 8.1536 10.2752
angles (deg): 90.00 90.00 143.17
Element x y z (fractional)
Tb 0.1645 0.8355 0.7500
Tb 0.8355 0.1645 0.2500
Pr 0.1659 0.8341 0.2500
Pr 0.3347 0.6653 0.0007
Pr 0.3347 0.6653 0.4993
Pr 0.6653 0.3347 0.5007
Pr 0.6653 0.3347 0.9993
Pr 0.8341 0.1659 0.7500
Sm 0.0000 0.0000 0.0000
Sm 0.0000 0.0000 0.5000
Er 0.4987 0.5013 0.2500
Er 0.5013 0.4987 0.7500

***

Entry 4:
Entry from Alexandria via LeMat-Bulk: TbPr5SmEr2 after structural relaxation (PBE-GGA).

Output
Total magnetic moment, μB per cell: 0.0
Crystal system: orthorhombic

a b c (Å): 10.6710 10.6710 10.7815
angles (deg): 90.00 90.00 149.08
Element x y z (fractional)
Tb 0.0906 0.9094 0.5000
Tb 0.9094 0.0906 0.0000
Pr 0.0190 0.9810 0.7845
Pr 0.1122 0.8878 0.0647
Pr 0.2045 0.7955 0.7444
Pr 0.2192 0.7808 0.3516
Pr 0.4844 0.5156 0.0605
Pr 0.5156 0.4844 0.5605
Pr 0.7808 0.2192 0.8516
Pr 0.7955 0.2045 0.2444
Pr 0.8878 0.1122 0.5647
Pr 0.9810 0.0190 0.2845
Sm 0.3005 0.6995 0.0505
Sm 0.6995 0.3005 0.5505
Er 0.3840 0.6160 0.3537
Er 0.3890 0.6110 0.7804
Er 0.6110 0.3890 0.2804
Er 0.6160 0.3840 0.8537

***

Entry 5:
Entry from Alexandria via LeMat-Bulk: TbPrSm3Er after structural relaxation (PBE-GGA).

Output
Total magnetic moment, μB per cell: 0.0
Crystal system: monoclinic

a b c (Å): 10.5998 10.5998 6.8947
angles (deg): 90.03 90.03 31.52
Element x y z (fractional)
Tb 0.1467 0.1467 0.0350
Tb 0.8533 0.8533 0.9650
Pr 0.1440 0.1440 0.4780
Pr 0.8560 0.8560 0.5220
Sm 0.0197 0.0197 0.7579
Sm 0.2799 0.2799 0.7459
Sm 0.3399 0.3399 0.2355
Sm 0.6601 0.6601 0.7645
Sm 0.7201 0.7201 0.2541
Sm 0.9803 0.9803 0.2421
Er 0.4419 0.4419 0.7689
Er 0.5581 0.5581 0.2311

***

Entry 6:
Entry from Alexandria via LeMat-Bulk: Tb2Pr4SmEr2 after structural relaxation (PBE-GGA).

Output
Total magnetic moment, μB per cell: 0.0
Crystal system: monoclinic

a b c (Å): 8.1151 8.1151 8.0914
angles (deg): 107.39 107.39 36.79
Element x y z (fractional)
Tb 0.1116 0.1116 0.1695
Tb 0.8884 0.8884 0.8305
Pr 0.2230 0.2230 0.8305
Pr 0.4461 0.4461 0.1692
Pr 0.5539 0.5539 0.8308
Pr 0.7770 0.7770 0.1695
Sm 0.0000 0.0000 0.5000
Er 0.3319 0.3319 0.5008
Er 0.6681 0.6681 0.4992

***

Entry 7:
Entry from Alexandria via LeMat-Bulk: TbPr2Sm5Er after structural relaxation (PBE-GGA).

Output
Total magnetic moment, μB per cell: 0.0
Crystal system: tetragonal

a b c (Å): 10.2204 10.2204 10.2204
angles (deg): 129.85 129.85 73.65
Element x y z (fractional)
Tb 0.2500 0.2500 0.0000
Tb 0.7500 0.7500 0.0000
Pr 0.1204 0.6204 0.7408
Pr 0.3796 0.1204 0.5000
Pr 0.6204 0.8796 0.5000
Pr 0.8796 0.3796 0.2592
Sm 0.0000 0.0000 0.0000
Sm 0.0732 0.1416 0.5000
Sm 0.1416 0.6416 0.0684
Sm 0.3584 0.4268 0.5000
Sm 0.4268 0.9268 0.0684
Sm 0.5000 0.5000 0.0000
Sm 0.5732 0.0732 0.9316
Sm 0.6416 0.5732 0.5000
Sm 0.8584 0.3584 0.9316
Sm 0.9268 0.8584 0.5000
Er 0.2500 0.7500 0.5000
Er 0.7500 0.2500 0.5000

***

Entry 8:
Entry from Alexandria via LeMat-Bulk: TbPr2Sm2Er2 after structural relaxation (PBE-GGA).

Output
Total magnetic moment, μB per cell: 0.0
Crystal system: monoclinic

a b c (Å): 6.2541 6.2541 8.0714
angles (deg): 97.48 97.48 48.17
Element x y z (fractional)
Tb 0.0000 0.0000 0.0000
Pr 0.1432 0.1432 0.4273
Pr 0.8568 0.8568 0.5727
Sm 0.4293 0.4293 0.2800
Sm 0.5707 0.5707 0.7200
Er 0.2847 0.2847 0.8609
Er 0.7153 0.7153 0.1391

***

Going through the records in order, we get calculated volume values of 32.56; 33.15; 34.12; 35.04; 33.75; 33.66; 34.11; 33.26 A^3/atom.
Going through the records in order, we get energy values of -4.644; -4.197; -4.689; -4.564; -4.488; -4.671; -4.433; -4.659 eV per atom.